The following is a DFT calculation (PBE-GGA) of a relaxed structure of TaRhCl2.

Results
- ΔE_f (raw): 1.2 eV/f.u.
- Size of the total moment: 0.0000 μB per atom
- D(E_F): 1.7 states/eV/f.u.
- Space group: No. 216

Lattice parameters (Å, degrees): 4.5710 4.5710 4.5710 120.04 120.04 89.93
With the nearest neighbours (Å) after each atom.
Fractional coordinates of all 4 atoms:
Cl1 0.2500 0.7500 0.5000  4 Cl 2.80, 4 Rh 2.80
Cl2 0.0000 0.0000 0.0000  4 Ta 2.80, 4 Cl 2.80
Rh1 0.5000 0.5000 0.0000  4 Cl 2.80, 4 Ta 2.80
Ta1 0.7500 0.2500 0.5000  4 Rh 2.80, 4 Cl 2.80

The following is a DFT calculation (PBE-GGA) of a relaxed structure of TaSbRu3.

Results
- ΔE_f (raw): 6.6 eV/f.u.
- Size of the total moment: 0.0003 μB per atom
- D(E_F): 8.5 states/eV/f.u.
- Space group: No. 221

Lattice parameters (Å, degrees): 4.7324 4.7324 4.7324 90.00 90.00 90.00
With the nearest neighbours (Å) after each atom.
Fractional coordinates of all 5 atoms:
Ru1 0.0000 0.5000 0.0000  2 Ta 2.37
Ru2 0.5000 0.0000 0.0000  2 Ta 2.37
Ru3 0.0000 0.0000 0.5000  2 Ta 2.37
Sb1 0.5000 0.5000 0.5000  12 Ru 3.35
Ta1 0.0000 0.0000 0.0000  6 Ru 2.37

The following is a DFT calculation (PBE-GGA) of a relaxed structure of Zr2NiSe.

Results
- ΔE_f (raw): -2.2 eV/f.u.
- Size of the total moment: 0.0000 μB per atom
- D(E_F): 2.5 states/eV/f.u.
- Space group: No. 47

Lattice parameters (Å, degrees): 4.2877 4.9926 3.3667 90.00 90.00 90.00
With the nearest neighbours (Å) after each atom.
Fractional coordinates of all 4 atoms:
Zr1 0.5000 0.5000 0.0000  4 Se 2.73, 4 Ni 3.01
Zr2 0.0000 0.0000 0.0000  4 Ni 2.73, 4 Se 3.01
Ni1 0.5000 0.0000 0.5000  8 Zr 2.73-3.01
Se1 0.0000 0.5000 0.5000  8 Zr 2.73-3.01

The following is a DFT calculation (PBE-GGA) of a relaxed structure of GdPuIrPd.

Results
- Formation enthalpy at 0 K: -0.61 eV per atom
- Size of the total moment: 3.1043 μB per atom
- D(E_F): 10.6 states/eV/f.u.
- Space group: No. 216

Lattice parameters (Å, degrees): 4.9249 4.9249 4.9249 60.00 60.00 60.00
With the nearest neighbours (Å) after each atom.
Fractional coordinates of all 4 atoms:
Ir1 0.5000 0.5000 0.5000  4 Pu 3.02, 4 Gd 3.02
Pd1 0.0000 0.0000 0.0000  4 Gd 3.02, 4 Pu 3.02
Pu1 0.7500 0.7500 0.7500  4 Ir 3.02, 4 Pd 3.02
Gd1 0.2500 0.2500 0.2500  4 Pd 3.02, 4 Ir 3.02

The following is a DFT calculation (PBE-GGA) of a relaxed structure of Ac14NdTl.

Results
- Formation enthalpy at 0 K: -0.01 eV per atom
- Size of the total moment: 0.0000 μB per atom
- D(E_F): 22.0 states/eV/f.u.
- Space group: No. 123

Lattice parameters (Å, degrees): 7.8418 7.8418 11.1234 90.00 90.00 90.00
With the nearest neighbours (Å) after each atom.
Fractional coordinates of all 16 atoms:
Ac1 0.8751 0.6251 0.5000  12 Ac 3.92-3.99
Ac2 0.1238 0.3737 0.7573  1 Tl 3.86, 10 Ac 3.87-3.99, 1 Nd 3.88
Ac3 0.6263 0.8762 0.2427  1 Tl 3.86, 10 Ac 3.87-3.99, 1 Nd 3.88
Ac4 0.1238 0.3737 0.2427  1 Tl 3.86, 10 Ac 3.87-3.99, 1 Nd 3.88
Ac5 0.1237 0.8763 0.2424  1 Tl 3.86, 10 Ac 3.87-4.00, 1 Nd 3.88
Ac6 0.3755 0.1252 0.0000  8 Ac 3.87, 2 Tl 3.92-3.93, 2 Nd 3.92
Ac7 0.6262 0.3738 0.2430  1 Tl 3.86, 10 Ac 3.87-3.99, 1 Nd 3.88
Ac8 0.8751 0.1249 0.5000  12 Ac 3.92-3.98
Ac9 0.3749 0.1249 0.5000  12 Ac 3.92-3.99
Ac10 0.6262 0.3738 0.7570  1 Tl 3.86, 10 Ac 3.87-3.99, 1 Nd 3.88
Ac11 0.8748 0.6245 0.0000  8 Ac 3.87, 2 Tl 3.92-3.93, 2 Nd 3.92
Ac12 0.3748 0.6252 0.5000  12 Ac 3.92-4.00
Ac13 0.6263 0.8762 0.7573  1 Tl 3.86, 10 Ac 3.87-3.99, 1 Nd 3.88
Ac14 0.1237 0.8763 0.7576  1 Tl 3.86, 10 Ac 3.87-4.00, 1 Nd 3.88
Nd1 0.3751 0.6249 0.0000  12 Ac 3.88-3.92
Tl1 0.8748 0.1252 0.0000  12 Ac 3.86-3.93

The following is a DFT calculation (PBE-GGA) of a relaxed structure of Er3Ga3Co.

Results
- Formation enthalpy at 0 K: -0.56 eV per atom
- Size of the total moment: 0.0000 μB per atom
- D(E_F): 4.9 states/eV/f.u.
- Space group: No. 12

Lattice parameters (Å, degrees): 4.1776 5.7303 13.3134 84.52 80.97 68.62
With the nearest neighbours (Å) after each atom.
Fractional coordinates of all 14 atoms:
Er1 0.5308 0.3236 0.6148  7 Ga 2.94-3.26, 4 Co 3.03-3.16
Er2 0.4692 0.6764 0.3852  7 Ga 2.94-3.26, 4 Co 3.03-3.16
Er3 0.3945 0.2900 0.9209  7 Ga 3.01-3.12
Er4 0.2572 0.2479 0.2378  6 Ga 2.91-3.15, 2 Co 3.13
Er5 0.6055 0.7100 0.0791  7 Ga 3.01-3.12
Er6 0.7428 0.7521 0.7622  6 Ga 2.91-3.15, 2 Co 3.13
Co1 0.7561 0.0833 0.4046  4 Ga 2.40-2.59
Co2 0.2439 0.9167 0.5954  4 Ga 2.40-2.59
Ga1 0.8560 0.7467 0.5414  3 Co 2.40-2.49
Ga2 0.9615 0.8381 0.2390  1 Co 2.59, 1 Ga 2.63
Ga3 0.1440 0.2533 0.4586  3 Co 2.40-2.49
Ga4 0.1109 0.8551 0.9230  2 Ga 2.60-2.63
Ga5 0.0385 0.1619 0.7610  1 Co 2.59, 1 Ga 2.63
Ga6 0.8891 0.1449 0.0770  2 Ga 2.60-2.63